(1)
Ac4RhPb PBE-GGA relaxed; symmetry = C2/c (15); ΔE_f = -0.41 eV/atom; M_tot = 0.0 μB per formula unit; raw total energy = -59.91 eV per cell; Fermi-level density of states = 12.32 states/eV per cell
1.0
4.849 -7.596 0.000
4.849 7.596 0.000
-3.067 0.000 5.992
Ac Rh Pb
8 2 2
Direct
0.067 0.701 0.922
0.205 0.335 0.669
0.299 0.933 0.578
0.335 0.205 0.169
0.665 0.795 0.831
0.701 0.067 0.422
0.795 0.665 0.331
0.933 0.299 0.078
0.004 0.996 0.750
0.996 0.004 0.250
0.377 0.623 0.250
0.623 0.377 0.750

=====

(2)
Ac2RhPb PBE-GGA relaxed; symmetry = R3m (160); ΔE_f = -0.51 eV/atom; M_tot = 0.0 μB per formula unit; raw total energy = -21.31 eV per cell; Fermi-level density of states = 3.80 states/eV per cell
1.0
2.106 1.216 9.015
-2.106 1.216 9.015
0.000 -2.431 9.015
Ac Rh Pb
2 1 1
Direct
0.000 0.000 0.000
0.205 0.205 0.205
0.603 0.603 0.603
0.435 0.435 0.435